Record 1
The following is a GGA-PBE calculation of a relaxed Y2HfTaAl crystal, from Alexandria.

Values from the calculation:
Its magnetic moment is 0.00 μB/f.u. The calculation puts the formation energy from the elements at 95.9 kJ per mole of atoms. As for the density of states at the Fermi level: 1.32 states/eV per atom.

abc: 5.2651 5.2651 5.1001
angles: 90.00 90.00 90.00
With the nearest neighbours (Å) after each atom.
Space group P4/mmm (No. 123)
Inequivalent atoms, fractional coordinates:
Y 0.0000 0.5000 0.0000 x2  2 Ta 2.63
Hf 0.0000 0.0000 0.5000 x1  8 Y 3.67, 4 Al 3.72
Ta 0.5000 0.5000 0.0000 x1  2 Al 2.55, 4 Y 2.63
Al 0.5000 0.5000 0.5000 x1  2 Ta 2.55

***

Record 2
The following is a GGA-PBE calculation of a relaxed Dy6Te3AsP2 crystal, from Alexandria.

Values from the calculation:
Its magnetic moment is 0.00 μB/f.u. As for the density of states at the Fermi level: 0.37 states/eV per atom. The formation energy (no corrections) is -1.534 eV per atom.

abc: 18.5206 4.1418 8.5229
angles: 90.00 105.67 90.00
With the nearest neighbours (Å) after each atom.
Space group C2/m (No. 12)
Inequivalent atoms, fractional coordinates:
Dy 0.0114 0.0000 0.2370 x4  1 P 2.78, 2 As 2.86, 2 Te 3.10
Dy 0.1622 0.5000 0.1109 x4  2 P 2.80, 1 As 2.90, 1 Te 3.11
Dy 0.1765 0.5000 0.5621 x4  3 P 2.79-2.81
Te 0.0000 0.5000 0.5000 x2  6 Dy 3.10-3.17
Te 0.1648 0.0000 0.8331 x4  6 Dy 3.11-3.16
As 0.0000 0.5000 0.0000 x2  6 Dy 2.86-2.90
P 0.1672 0.0000 0.3346 x4  6 Dy 2.78-2.81

***

Record 3
The following is a GGA-PBE calculation of a relaxed Gd2DyMn crystal, from Alexandria.

Values from the calculation:
Its magnetic moment is 10.92 μB/f.u. The calculation puts the formation energy from the elements at 11.2 kJ per mole of atoms. As for the density of states at the Fermi level: 1.56 states/eV per atom. The calculation puts the energy above the most stable polymorph in this dataset at 0.00 eV per formula unit.

abc: 3.5230 3.5230 8.8003
angles: 90.00 90.00 90.00
With the nearest neighbours (Å) after each atom.
Space group P4/mmm (No. 123)
Inequivalent atoms, fractional coordinates:
Gd 0.0000 0.0000 0.2020 x2  4 Mn 3.06
Dy 0.5000 0.5000 0.5000 x1  4 Dy 3.52, 8 Gd 3.62
Mn 0.5000 0.5000 0.0000 x1  8 Gd 3.06

***

Record 4
The following is a GGA-PBE calculation of a relaxed BaRe2Hg crystal, from Alexandria.

Values from the calculation:
Its magnetic moment is 0.01 μB/f.u. The calculation puts the formation energy from the elements at 139.2 kJ per mole of atoms. As for the density of states at the Fermi level: 1.38 states/eV per atom.

abc: 2.8828 2.8828 10.1003
angles: 90.00 90.00 90.00
With the nearest neighbours (Å) after each atom.
Space group P4/mmm (No. 123)
Inequivalent atoms, fractional coordinates:
Ba 0.0000 0.0000 0.0000 x1  4 Ba 2.88
Re 0.5000 0.5000 0.2830 x2  4 Re 2.88, 4 Hg 2.99
Hg 0.0000 0.0000 0.5000 x1  4 Hg 2.88, 8 Re 2.99

***

Record 5
The following is a GGA-PBE calculation of a relaxed Rb6SI2Cl2 crystal, from Alexandria.

Values from the calculation:
Its magnetic moment is 0.20 μB/f.u. As for the density of states at the Fermi level: 0.00 states/eV per atom. The formation energy (no corrections) is -1.494 eV per atom.

abc: 8.6008 14.6334 9.0209
angles: 90.00 109.22 90.00
With the nearest neighbours (Å) after each atom.
Space group C2/m (No. 12)
Inequivalent atoms, fractional coordinates:
Rb 0.2195 0.1672 0.2019 x8  1 S 3.26, 2 Cl 3.31-3.47
Rb 0.2347 0.0000 0.7938 x4  1 S 3.16, 2 Cl 3.37
S 0.0000 0.0000 0.0000 x2  6 Rb 3.16-3.26
I 0.0000 0.1746 0.5000 x4  6 Rb 3.76
Cl 0.0000 0.3395 0.0000 x4  6 Rb 3.31-3.47

***

Record 6
The following is a GGA-PBE calculation of a relaxed ErGaCu11 crystal, from Alexandria.

Values from the calculation:
Its magnetic moment is 0.00 μB/f.u. The calculation puts the formation energy from the elements at -11.9 kJ per mole of atoms. As for the density of states at the Fermi level: 0.30 states/eV per atom.

abc: 4.8403 11.9427 6.5147
angles: 90.00 111.11 90.00
With the nearest neighbours (Å) after each atom.
Space group C2/m (No. 12)
Inequivalent atoms, fractional coordinates:
Er 0.0000 0.0000 0.0000 x2  18 Cu 3.02-3.26, 2 Ga 3.28
Ga 0.0000 0.5000 0.5000 x2  10 Cu 2.42-2.65
Cu 0.0000 0.0000 0.5000 x2  2 Ga 2.42, 8 Cu 2.49-2.59
Cu 0.1069 0.3893 0.2181 x8  8 Cu 2.44-2.71, 1 Ga 2.46
Cu 0.1655 0.1793 0.3510 x8  8 Cu 2.48-2.75, 1 Ga 2.65
Cu 0.2500 0.2500 0.0000 x4  10 Cu 2.42-2.60